A relaxed structure of Tm2ZrNi2, computed with PBE. Values from VASP.

Output
Energy of formation ... -1.76 eV/f.u.
Total moment ... 0.0 μB/f.u.
VASP energy ... -6.164 eV per atom

Structure (Quantum ESPRESSO input):
```
&SYSTEM
  ibrav = 0, nat = 10, ntyp = 3
/
ATOMIC_SPECIES
Tm 168.93 Tm.upf
Zr 91.22 Zr.upf
Ni 58.69 Ni.upf
ATOMIC_POSITIONS crystal
Tm 0.760 0.299 0.649
Tm 0.461 0.701 0.851
Tm 0.240 0.701 0.351
Tm 0.539 0.299 0.149
Zr 0.911 0.000 0.250
Zr 0.089 0.000 0.750
Ni 0.994 0.298 0.003
Ni 0.304 0.298 0.503
Ni 0.696 0.702 0.497
Ni 0.006 0.702 0.997
CELL_PARAMETERS angstrom
-2.919 0.937 -4.896
1.165 -5.683 1.626
-5.775 1.059 3.646
```